Record 1
A plane-wave DFT calculation with GGA-PBE was carried out for a relaxed structure of TmSc2Pb.

Calculated values
energy: -5.367 eV/atom
ΔH_f (0 K): -0.156 eV/atom
crystal system: tetragonal
energy above the lowest structure with this stoichiometry: 0.1582 eV/atom

Cell lengths 3.5469, 3.5469, 8.2698 Å; angles 90.00, 90.00, 90.00 degrees
Space group P4/mmm (No. 123)
Symmetry-distinct sites (fractional):
Tm1 0.0000 0.0000 0.0000 (multiplicity 1)
Sc1 0.5000 0.5000 0.2627 (multiplicity 2)
Pb1 0.0000 0.0000 0.5000 (multiplicity 1)

Record 2
A plane-wave DFT calculation with GGA-PBE was carried out for a relaxed structure of TmScPb.

Calculated values
energy: -5.032 eV/atom
ΔH_f (0 K): -0.195 eV/atom
crystal system: trigonal
energy above the lowest structure with this stoichiometry: 0.2318 eV/atom

Cell lengths 5.1071, 5.1071, 3.5762 Å; angles 90.00, 90.00, 120.00 degrees
Space group P3m1 (No. 156)
Symmetry-distinct sites (fractional):
Tm1 0.0000 0.0000 0.0000 (multiplicity 1)
Sc1 0.6667 0.3333 0.4763 (multiplicity 1)
Pb1 0.3333 0.6667 0.5932 (multiplicity 1)

Record 3
A plane-wave DFT calculation with GGA-PBE was carried out for a relaxed structure of Tm3Sc2Pb.

Calculated values
energy: -5.138 eV/atom
ΔH_f (0 K): -0.174 eV/atom
crystal system: orthorhombic

Cell lengths 4.7452, 14.4703, 4.6838 Å; angles 90.00, 90.00, 90.00 degrees
Space group Cmmm (No. 65)
Symmetry-distinct sites (fractional):
Tm1 0.0000 0.0000 0.0000 (multiplicity 2)
Tm2 0.0000 0.3281 0.0000 (multiplicity 4)
Sc1 0.0000 0.1662 0.5000 (multiplicity 4)
Pb1 0.0000 0.5000 0.5000 (multiplicity 2)

Record 4
A plane-wave DFT calculation with GGA-PBE was carried out for a relaxed structure of Tm6Sc3Pb2.

Calculated values
energy: -4.946 eV/atom
ΔH_f (0 K): -0.106 eV/atom
crystal system: triclinic

Cell lengths 6.1866, 6.3442, 8.6244 Å; angles 107.40, 97.28, 101.71 degrees
Space group P1 (No. 1)
Symmetry-distinct sites (fractional):
Tm1 0.0000 0.0000 0.0000 (multiplicity 1)
Tm2 0.0270 0.2365 0.6935 (multiplicity 1)
Tm3 0.2022 0.9340 0.3689 (multiplicity 1)
Tm4 0.4117 0.6706 0.0369 (multiplicity 1)
Tm5 0.5735 0.5232 0.6819 (multiplicity 1)
Tm6 0.7116 0.2544 0.2964 (multiplicity 1)
Sc1 0.0855 0.7138 0.6408 (multiplicity 1)
Sc2 0.5141 0.0743 0.8182 (multiplicity 1)
Sc3 0.6758 0.8051 0.4340 (multiplicity 1)
Pb1 0.2534 0.4192 0.3320 (multiplicity 1)
Pb2 0.8679 0.5123 0.0324 (multiplicity 1)

Record 5
A plane-wave DFT calculation with GGA-PBE was carried out for a relaxed structure of TmScPb.

Calculated values
energy: -5.160 eV/atom
ΔH_f (0 K): -0.323 eV/atom
crystal system: tetragonal
energy above the lowest structure with this stoichiometry: 0.1039 eV/atom

Cell lengths 4.4222, 4.4222, 8.1674 Å; angles 90.00, 90.00, 90.00 degrees
Space group P4/nmm (No. 129, origin choice 2)
Symmetry-distinct sites (fractional):
Tm1 0.2500 0.7500 0.0000 (multiplicity 2)
Sc1 0.2500 0.2500 0.3358 (multiplicity 2)
Pb1 0.2500 0.2500 0.7046 (multiplicity 2)

Record 6
A plane-wave DFT calculation with GGA-PBE was carried out for a relaxed structure of Tm10Sc3Pb3.

Calculated values
energy: -4.796 eV/atom
ΔH_f (0 K): -0.119 eV/atom
crystal system: hexagonal

Cell lengths 9.0791, 9.0791, 6.3828 Å; angles 90.00, 90.00, 120.00 degrees
Space group P-62m (No. 189)
Symmetry-distinct sites (fractional):
Tm1 0.0000 0.2295 0.0000 (multiplicity 3)
Tm2 0.0000 0.7647 0.5000 (multiplicity 3)
Tm3 0.3333 0.6667 0.2520 (multiplicity 4)
Sc1 0.0000 0.5911 0.0000 (multiplicity 3)
Pb1 0.0000 0.4040 0.5000 (multiplicity 3)

Record 7
A plane-wave DFT calculation with GGA-PBE was carried out for a relaxed structure of Tm2Sc3Pb4.

Calculated values
energy: -5.235 eV/atom
ΔH_f (0 K): -0.483 eV/atom
crystal system: monoclinic

Cell lengths 8.0874, 8.0160, 7.8222 Å; angles 90.00, 111.87, 90.00 degrees
Space group P2_1/c (No. 14)
Symmetry-distinct sites (fractional):
Tm1 0.1922 0.1802 0.0499 (multiplicity 4)
Sc1 0.2454 0.6549 0.2368 (multiplicity 4)
Sc2 0.5000 0.0000 0.5000 (multiplicity 2)
Pb1 0.0881 0.5423 0.8282 (multiplicity 4)
Pb2 0.4940 0.1439 0.8564 (multiplicity 4)

Record 8
A plane-wave DFT calculation with GGA-PBE was carried out for a relaxed structure of Tm11Sc9Pb4.

Calculated values
energy: -5.172 eV/atom
ΔH_f (0 K): -0.130 eV/atom
crystal system: orthorhombic

Cell lengths 15.5168, 23.4044, 3.6246 Å; angles 90.00, 90.00, 90.00 degrees
Space group Cmmm (No. 65)
Symmetry-distinct sites (fractional):
Tm1 0.0000 0.0000 0.0000 (multiplicity 2)
Tm2 0.0000 0.1614 0.0000 (multiplicity 4)
Tm3 0.0000 0.3666 0.0000 (multiplicity 4)
Tm4 0.2261 0.1808 0.0000 (multiplicity 8)
Tm5 0.2305 0.5000 0.0000 (multiplicity 4)
Sc1 0.0000 0.5000 0.5000 (multiplicity 2)
Sc2 0.1024 0.2661 0.5000 (multiplicity 8)
Sc3 0.1306 0.0758 0.5000 (multiplicity 8)
Pb1 0.1553 0.4025 0.5000 (multiplicity 8)

Record 9
A plane-wave DFT calculation with GGA-PBE was carried out for a relaxed structure of Tm3ScPb4.

Calculated values
energy: -4.698 eV/atom
ΔH_f (0 K): -0.376 eV/atom
crystal system: orthorhombic
energy above the lowest structure with this stoichiometry: 0.0000 eV/atom

Cell lengths 10.9317, 6.2963, 6.2968 Å; angles 90.00, 90.00, 90.00 degrees
Space group Pmn2_1 (No. 31)
Symmetry-distinct sites (fractional):
Tm1 0.0000 0.0005 0.0000 (multiplicity 2)
Tm2 0.2500 0.2559 0.2505 (multiplicity 4)
Sc1 0.0000 0.5003 0.5004 (multiplicity 2)
Pb1 0.0000 0.0004 0.5001 (multiplicity 2)
Pb2 0.0000 0.5004 0.0002 (multiplicity 2)
Pb3 0.2502 0.2465 0.7505 (multiplicity 4)

Record 10
A plane-wave DFT calculation with GGA-PBE was carried out for a relaxed structure of Tm4ScPb5.

Calculated values
energy: -4.598 eV/atom
ΔH_f (0 K): -0.322 eV/atom
crystal system: tetragonal
energy above the lowest structure with this stoichiometry: 0.0000 eV/atom

Cell lengths 3.9766, 3.9766, 17.1803 Å; angles 90.00, 90.00, 90.00 degrees
Space group P4/mmm (No. 123)
Symmetry-distinct sites (fractional):
Tm1 0.0000 0.0000 0.1014 (multiplicity 2)
Tm2 0.0000 0.0000 0.3050 (multiplicity 2)
Sc1 0.0000 0.0000 0.5000 (multiplicity 1)
Pb1 0.5000 0.5000 0.0000 (multiplicity 1)
Pb2 0.5000 0.5000 0.2023 (multiplicity 2)
Pb3 0.5000 0.5000 0.4055 (multiplicity 2)

Record 11
A plane-wave DFT calculation with GGA-PBE was carried out for a relaxed structure of Tm5Sc2Pb5.

Calculated values
energy: -4.757 eV/atom
ΔH_f (0 K): -0.294 eV/atom
crystal system: monoclinic
energy above the lowest structure with this stoichiometry: 0.0522 eV/atom

Cell lengths 12.5987, 4.6962, 12.7934 Å; angles 90.00, 116.14, 90.00 degrees
Space group C2/m (No. 12)
Symmetry-distinct sites (fractional):
Tm1 0.0000 0.0000 0.0000 (multiplicity 2)
Tm2 0.1579 0.0000 0.5124 (multiplicity 4)
Tm3 0.1757 0.0000 0.7947 (multiplicity 4)
Sc1 0.0558 0.5000 0.2889 (multiplicity 4)
Pb1 0.0000 0.5000 0.5000 (multiplicity 2)
Pb2 0.1357 0.5000 0.9440 (multiplicity 4)
Pb3 0.1981 0.0000 0.2817 (multiplicity 4)

Record 12
A plane-wave DFT calculation with GGA-PBE was carried out for a relaxed structure of TmSc2Pb.

Calculated values
energy: -5.464 eV/atom
ΔH_f (0 K): -0.253 eV/atom
crystal system: tetragonal
energy above the lowest structure with this stoichiometry: 0.0610 eV/atom

Cell lengths 4.6468, 4.6468, 4.6563 Å; angles 90.00, 90.00, 90.00 degrees
Space group P4/mmm (No. 123)
Symmetry-distinct sites (fractional):
Tm1 0.0000 0.0000 0.0000 (multiplicity 1)
Sc1 0.0000 0.5000 0.5000 (multiplicity 2)
Pb1 0.5000 0.5000 0.0000 (multiplicity 1)

Number 1: ρ 7.44 g cm⁻³. Number 2: ρ 8.66 g cm⁻³. Number 3: ρ 8.30 g cm⁻³. Number 4: ρ 8.38 g cm⁻³. Number 5: ρ 8.76 g cm⁻³. Number 6: ρ 8.91 g cm⁻³. Number 7: ρ 9.18 g cm⁻³. Number 8: ρ 7.80 g cm⁻³. Number 9: ρ 10.58 g cm⁻³. Number 10: ρ 10.74 g cm⁻³. Number 11: ρ 9.63 g cm⁻³. Number 12: ρ 7.70 g cm⁻³.